Record 1
Entry from Alexandria: a relaxed structure of CeNd3Er2As6 (PBE).

Lattice parameters (Å, degrees): 7.267 7.267 7.281 99.58 99.58 119.99
Positions (direct):
Ce1 0.000 0.000 0.000
Nd1 0.166 0.834 0.500
Nd2 0.500 0.500 0.500
Nd3 0.834 0.166 0.500
Er1 0.333 0.667 0.000
Er2 0.667 0.333 0.000
As1 0.080 0.415 0.240
As2 0.255 0.255 0.761
As3 0.415 0.080 0.240
As4 0.585 0.920 0.760
As5 0.745 0.745 0.239
As6 0.920 0.585 0.760

Computed properties:
D(E_F) in states/eV/atom: 0.47
Spin magnetization in μB per formula unit: 0.5
Calculated formation energy in eV/f.u.: -18.0
Calculated volume in Å³ per cell: 314.0



Record 2
Entry from Alexandria: a relaxed structure of YAl3 (PBE).

Lattice parameters (Å, degrees): 7.971 7.971 4.281 90.00 90.00 120.00
Positions (direct):
Y1 0.333 0.667 0.250
Y2 0.667 0.333 0.750
Al1 0.120 0.241 0.250
Al2 0.120 0.880 0.250
Al3 0.241 0.120 0.750
Al4 0.759 0.880 0.250
Al5 0.880 0.120 0.750
Al6 0.880 0.759 0.750

Computed properties:
D(E_F) in states/eV/atom: 0.75
Spin magnetization in μB per formula unit: 0.1
Calculated formation energy in eV/f.u.: 2.0
Calculated volume in Å³ per cell: 235.6



Record 3
Entry from Alexandria: a relaxed structure of Sr3AgCl7 (PBE).

Lattice parameters (Å, degrees): 8.493 8.493 9.543 90.00 90.00 107.49
Positions (direct):
Sr1 0.000 0.000 0.000
Sr2 0.000 0.000 0.500
Sr3 0.045 0.503 0.750
Sr4 0.497 0.955 0.750
Sr5 0.503 0.045 0.250
Sr6 0.955 0.497 0.250
Ag1 0.500 0.500 0.000
Ag2 0.500 0.500 0.500
Cl1 0.133 0.867 0.750
Cl2 0.138 0.862 0.250
Cl3 0.140 0.388 0.025
Cl4 0.140 0.388 0.475
Cl5 0.388 0.140 0.525
Cl6 0.388 0.140 0.975
Cl7 0.412 0.588 0.750
Cl8 0.588 0.412 0.250
Cl9 0.612 0.860 0.025
Cl10 0.612 0.860 0.475
Cl11 0.860 0.612 0.525
Cl12 0.860 0.612 0.975
Cl13 0.862 0.138 0.750
Cl14 0.867 0.133 0.250

Computed properties:
D(E_F) in states/eV/atom: 0.00
Spin magnetization in μB per formula unit: 0.0
Calculated volume in Å³ per cell: 656.6
Raw total energy in eV for the cell shown: -87.26



Record 4
Entry from Alexandria: a relaxed structure of Rb2NiP2 (PBE).

Lattice parameters (Å, degrees): 6.155 6.155 5.728 90.00 90.00 90.00
Positions (direct):
Rb1 0.178 0.322 0.000
Rb2 0.322 0.822 0.000
Rb3 0.678 0.178 0.000
Rb4 0.822 0.678 0.000
Ni1 0.000 0.000 0.500
Ni2 0.500 0.500 0.500
P1 0.134 0.634 0.500
P2 0.366 0.134 0.500
P3 0.634 0.866 0.500
P4 0.866 0.366 0.500

Computed properties:
D(E_F) in states/eV/atom: 0.52
Spin magnetization in μB per formula unit: 0.0
Calculated formation energy in eV/f.u.: -0.3
Calculated volume in Å³ per cell: 217.0



Record 5
Entry from Alexandria: a relaxed structure of ZrScTeO6 (PBE).

Lattice parameters (Å, degrees): 5.423 5.423 9.129 90.00 90.00 120.00
Positions (direct):
Zr1 0.333 0.667 0.250
Zr2 0.667 0.333 0.750
Sc1 0.000 0.000 0.000
Sc2 0.000 0.000 0.500
Te1 0.333 0.667 0.750
Te2 0.667 0.333 0.250
O1 0.008 0.341 0.631
O2 0.008 0.667 0.869
O3 0.333 0.341 0.869
O4 0.333 0.992 0.631
O5 0.341 0.008 0.131
O6 0.341 0.333 0.369
O7 0.659 0.667 0.631
O8 0.659 0.992 0.869
O9 0.667 0.008 0.369
O10 0.667 0.659 0.131
O11 0.992 0.333 0.131
O12 0.992 0.659 0.369

Computed properties:
D(E_F) in states/eV/atom: 0.45
Spin magnetization in μB per formula unit: 0.0
Calculated volume in Å³ per cell: 232.5
Raw total energy in eV for the cell shown: -137.05



Question: D(E_F) of number 2 (YAl3)?
Answer: 0.75 states/eV/atom



Question: D(E_F) of number 2 (YAl3)?
Answer: 0.75 states/eV/atom



Please write out number 1 again, unchanged.
Entry from Alexandria: a relaxed structure of CeNd3Er2As6 (PBE).

Lattice parameters (Å, degrees): 7.267 7.267 7.281 99.58 99.58 119.99
Positions (direct):
Ce1 0.000 0.000 0.000
Nd1 0.166 0.834 0.500
Nd2 0.500 0.500 0.500
Nd3 0.834 0.166 0.500
Er1 0.333 0.667 0.000
Er2 0.667 0.333 0.000
As1 0.080 0.415 0.240
As2 0.255 0.255 0.761
As3 0.415 0.080 0.240
As4 0.585 0.920 0.760
As5 0.745 0.745 0.239
As6 0.920 0.585 0.760

Computed properties:
D(E_F) in states/eV/atom: 0.47
Spin magnetization in μB per formula unit: 0.5
Calculated formation energy in eV/f.u.: -18.0
Calculated volume in Å³ per cell: 314.0



Question: calculated volume of number 1 (CeNd3Er2As6)?
Answer: 314.0 Å³ per cell